The following is a PBE-GGA calculation of a relaxed structure of YSiRu2, from Alexandria via LeMat-Bulk.

a b c (Å): 4.2944 4.2944 9.0547
angles (deg): 76.28 76.28 90.00
Last column: nearest neighbours and their distance in Å.
Fractional coordinates of all 8 atoms:
Ru  0.3750  0.4852  0.7500  2 Ru 2.46, 2 Si 2.46
Y  0.7500  0.2500  0.5000  4 Ru 2.84, 4 Si 3.04
Ru  0.5148  0.1250  0.2500  2 Ru 2.46, 2 Si 2.46
Ru  0.2352  0.6250  0.2500  2 Ru 2.46, 2 Si 2.46
Si  0.2500  0.7500  0.5000  4 Ru 2.46
Si  0.5000  0.5000  0.0000  4 Ru 2.46
Ru  0.8750  0.7648  0.7500  2 Ru 2.46, 2 Si 2.46
Y  0.0000  0.0000  0.0000  4 Ru 2.84, 4 Si 3.04

## Properties
- DOS(E_F): 6.56 states/eV per cell
- SG: I-42d (122)
- E: -7.61 eV/atom